# 1
A plane-wave DFT calculation with PBE-GGA was carried out for an optimized crystal structure of Cs2MnI5.

Lattice parameters (Å, degrees): 8.1559 8.1584 8.1567 116.97 116.96 95.36
Sites, in units of the cell vectors:
I  0.7230  0.7226  0.0002
Mn  0.9694  0.9694  0.0001
I  0.2357  0.2357  0.4416
I  0.7942  0.2356  0.0000
I  0.7938  0.7938  0.5584
Cs  0.2621  0.7623  0.4995
I  0.2361  0.7949  0.0000
Cs  0.7626  0.2625  0.5002

Results
The calculation puts the volume at 49.93 A^3/atom. The value obtained for the formation energy without anion corrections is -7.8 eV per formula unit. As for the offset from the most stable computed form: 0.0 meV per atom.

# 2
A plane-wave DFT calculation with PBE-GGA was carried out for an optimized crystal structure of PmNiH.

Lattice parameters (Å, degrees): 3.5388 3.8476 3.8476 120.00 90.00 90.00
Sites, in units of the cell vectors:
Pm  0.6661  0.3333  0.6667
H  0.1682  0.6667  0.3333
Ni  0.1658  0.0000  0.0000

Results
The calculation puts the volume at 15.12 A^3/atom. As for the offset from the most stable computed form: 300.4 meV per atom.

# 3
A plane-wave DFT calculation with PBE-GGA was carried out for an optimized crystal structure of Ce3Sn5S12.

Lattice parameters (Å, degrees): 13.9824 13.9824 13.9824 109.47 109.47 109.47
Sites, in units of the cell vectors:
Sn  0.0000  0.0000  0.0000
Sn  0.1250  0.7500  0.3750
Sn  0.0000  0.5000  0.0000
S  0.6363  0.0463  0.2224
S  0.3239  0.5463  0.4100
S  0.8637  0.2776  0.4537
S  0.9139  0.0900  0.6363
S  0.5861  0.8637  0.4100
S  0.8637  0.5861  0.9100
Ce  0.7500  0.8750  0.6250
S  0.6761  0.2224  0.5861
Sn  0.7500  0.6250  0.3750
S  0.6761  0.4537  0.5900
Sn  0.5000  0.5000  0.5000
S  0.0861  0.9100  0.3637
Sn  0.7500  0.1250  0.8750
Ce  0.8750  0.1250  0.2500
S  0.9537  0.5900  0.1761
S  0.8239  0.9139  0.2776
Sn  0.6250  0.8750  0.2500
S  0.3239  0.7776  0.4139
S  0.7776  0.3239  0.9139
S  0.2776  0.8637  0.9537
Sn  0.1250  0.3750  0.2500
S  0.7224  0.1363  0.0463
S  0.4537  0.6761  0.0900
Ce  0.2500  0.1250  0.3750
S  0.0900  0.9139  0.1363
Sn  0.6250  0.7500  0.8750
S  0.0463  0.6363  0.7224
Ce  0.3750  0.7500  0.6250
Ce  0.2500  0.6250  0.8750
Ce  0.7500  0.3750  0.1250
S  0.9139  0.8239  0.7776
Ce  0.1250  0.8750  0.7500
Sn  0.5000  0.0000  0.5000
Ce  0.6250  0.2500  0.3750
S  0.3637  0.9537  0.7776
S  0.0463  0.4100  0.8239
S  0.9100  0.8239  0.5463
S  0.9100  0.0861  0.8637
Sn  0.8750  0.2500  0.6250
S  0.1761  0.0861  0.7224
S  0.5900  0.9537  0.6761
S  0.4139  0.2776  0.3239
S  0.4100  0.0463  0.3239
Sn  0.3750  0.2500  0.1250
Sn  0.3750  0.1250  0.7500
S  0.1761  0.0900  0.9537
Ce  0.6250  0.3750  0.7500
Sn  0.5000  0.0000  0.0000
Ce  0.1250  0.2500  0.8750
Sn  0.8750  0.6250  0.7500
S  0.5463  0.3239  0.9100
Sn  0.2500  0.8750  0.1250
S  0.2776  0.4139  0.8239
S  0.6363  0.5900  0.9139
Sn  0.0000  0.5000  0.5000
Ce  0.3750  0.6250  0.2500
Sn  0.5000  0.5000  0.0000
S  0.9537  0.3637  0.2776
S  0.8239  0.9100  0.0463
S  0.2224  0.5463  0.6363
S  0.4537  0.7776  0.8637
S  0.7224  0.5861  0.1761
S  0.0861  0.1761  0.2224
Sn  0.0000  0.0000  0.5000
S  0.3637  0.4100  0.0861
S  0.5463  0.2224  0.1363
S  0.4100  0.3637  0.5861
S  0.5861  0.7224  0.6761
S  0.2224  0.6761  0.0861
Ce  0.8750  0.7500  0.1250
S  0.7776  0.4537  0.3637
S  0.0900  0.1761  0.4537
S  0.4139  0.1363  0.5900
S  0.5900  0.6363  0.4139
S  0.1363  0.7224  0.5463
S  0.1363  0.4139  0.0900
Sn  0.2500  0.3750  0.6250

Results
The calculation puts the volume at 26.30 A^3/atom. The value obtained for the formation energy without anion corrections is -18.4 eV per formula unit.

# 4
A plane-wave DFT calculation with PBE-GGA was carried out for an optimized crystal structure of Ta5Co3H12.

Lattice parameters (Å, degrees): 9.4315 9.4315 9.4315 109.47 109.47 109.47
Sites, in units of the cell vectors:
Ta  0.1250  0.7500  0.3750
H  0.8981  0.0499  0.8252
H  0.5499  0.7247  0.6518
H  0.0729  0.3981  0.8482
H  0.7247  0.5499  0.1518
H  0.1748  0.7247  0.5729
H  0.6748  0.6019  0.9501
H  0.2247  0.5729  0.6748
H  0.5729  0.3482  0.8981
Ta  0.7500  0.1250  0.8750
Co  0.1250  0.2500  0.8750
Ta  0.0000  0.0000  0.5000
Ta  0.0000  0.5000  0.5000
H  0.4271  0.6518  0.1019
H  0.0499  0.1518  0.2247
Ta  0.8750  0.2500  0.6250
H  0.0499  0.8981  0.3252
H  0.6019  0.9271  0.6518
Co  0.2500  0.6250  0.8750
Ta  0.5000  0.0000  0.5000
H  0.7753  0.3482  0.9501
H  0.3981  0.3252  0.5499
Ta  0.6250  0.8750  0.2500
H  0.9271  0.6019  0.1518
H  0.9501  0.8482  0.7753
Ta  0.5000  0.0000  0.0000
Co  0.3750  0.6250  0.2500
H  0.6019  0.6748  0.4501
H  0.6518  0.2247  0.5499
H  0.1019  0.9501  0.1748
Ta  0.5000  0.5000  0.0000
Ta  0.7500  0.6250  0.3750
Ta  0.0000  0.0000  0.0000
H  0.6518  0.4271  0.6019
H  0.3482  0.5729  0.3981
Co  0.6250  0.3750  0.7500
H  0.9501  0.1019  0.6748
Co  0.2500  0.1250  0.3750
H  0.3981  0.0729  0.3482
H  0.2753  0.8252  0.9271
Co  0.8750  0.1250  0.2500
Co  0.1250  0.8750  0.7500
H  0.0729  0.6748  0.7247
H  0.8482  0.9501  0.2753
Co  0.8750  0.7500  0.1250
H  0.8252  0.2753  0.4271
Ta  0.0000  0.5000  0.0000
Ta  0.2500  0.8750  0.1250
Ta  0.1250  0.3750  0.2500
H  0.1019  0.1518  0.4271
H  0.4271  0.7753  0.8252
H  0.8252  0.5499  0.8981
Ta  0.5000  0.5000  0.5000
H  0.2753  0.4501  0.8482
H  0.7753  0.4271  0.3252
H  0.3252  0.9271  0.7753
H  0.1518  0.0499  0.7247
Co  0.6250  0.2500  0.3750
H  0.8981  0.8482  0.5729
Co  0.7500  0.3750  0.1250
H  0.5499  0.8252  0.3981
Ta  0.3750  0.1250  0.7500
H  0.5729  0.2247  0.1748
Co  0.7500  0.8750  0.6250
H  0.1518  0.1019  0.9271
H  0.9271  0.3252  0.2753
H  0.8482  0.8981  0.0729
H  0.3252  0.3981  0.0499
Ta  0.2500  0.3750  0.6250
Co  0.3750  0.7500  0.6250
H  0.2247  0.6518  0.0499
H  0.1748  0.4501  0.1019
Ta  0.8750  0.6250  0.7500
H  0.4501  0.1748  0.6019
Ta  0.6250  0.7500  0.8750
H  0.7247  0.1748  0.0729
H  0.6748  0.0729  0.2247
H  0.3482  0.7753  0.4501
Ta  0.3750  0.2500  0.1250
H  0.4501  0.2753  0.3482

Results
The calculation puts the volume at 8.07 A^3/atom. For the total energy, the calculation gives -5.99 eV/atom.

# 5
A plane-wave DFT calculation with PBE-GGA was carried out for an optimized crystal structure of SmEr2Zn9.

Lattice parameters (Å, degrees): 5.4428 5.4428 9.1225 72.64 72.64 60.00
Sites, in units of the cell vectors:
Sm  0.0000  0.0000  0.0000
Zn  0.4134  0.4134  0.2498
Zn  0.5866  0.0766  0.7502
Zn  0.9234  0.4134  0.2498
Zn  0.5000  0.5000  0.5000
Er  0.1405  0.1405  0.5785
Zn  0.6650  0.6650  0.0051
Zn  0.5866  0.5866  0.7502
Zn  0.4134  0.9234  0.2498
Zn  0.0766  0.5866  0.7502
Er  0.8595  0.8595  0.4215
Zn  0.3350  0.3350  0.9949

Results
The calculation puts the volume at 18.31 A^3/atom. The formation energy is -0.321 eV per atom.

# 6
A plane-wave DFT calculation with PBE-GGA was carried out for an optimized crystal structure of Ho5Cu2Sn.

Lattice parameters (Å, degrees): 7.8302 7.8302 8.5548 117.24 117.24 90.00
Sites, in units of the cell vectors:
Ho  0.7011  0.2011  0.7157
Ho  0.9854  0.4854  0.2843
Sn  0.7500  0.7500  0.5000
Ho  0.5146  0.7011  0.7157
Ho  0.2011  0.0146  0.7157
Sn  0.2500  0.2500  0.5000
Cu  0.3715  0.8715  0.0000
Ho  0.5000  0.5000  0.0000
Cu  0.8715  0.6285  0.0000
Ho  0.0146  0.5146  0.7157
Ho  0.4854  0.2989  0.2843
Ho  0.7989  0.9854  0.2843
Cu  0.1285  0.3715  0.0000
Ho  0.2989  0.7989  0.2843
Ho  0.0000  0.0000  0.0000
Cu  0.6285  0.1285  0.0000

Results
The calculation puts the volume at 24.99 A^3/atom. The formation energy is -0.352 eV per atom.

# 7
A plane-wave DFT calculation with PBE-GGA was carried out for an optimized crystal structure of MgBi3Pb.

Lattice parameters (Å, degrees): 3.4442 8.9631 10.5549 107.37 99.22 90.04
Sites, in units of the cell vectors:
Bi  0.4255  0.3677  0.0953
Bi  0.5923  0.5234  0.4307
Bi  0.2171  0.3041  0.6846
Bi  0.2397  0.7006  0.7441
Mg  0.8323  0.5359  0.9243
Mg  0.9944  0.6898  0.2516
Bi  0.4054  0.8571  0.0799
Bi  0.6143  0.9204  0.4910
Pb  0.7998  0.0657  0.8295
Pb  0.0316  0.1584  0.3458

Results
The calculation puts the volume at 30.66 A^3/atom. As for the offset from the most stable computed form: 0.0 meV per atom. The formation energy is -0.025 eV per atom.

# 8
A plane-wave DFT calculation with PBE-GGA was carried out for an optimized crystal structure of TaTcHg2.

Lattice parameters (Å, degrees): 4.7187 4.7187 4.7187 60.00 60.00 60.00
Sites, in units of the cell vectors:
Ta  0.5000  0.5000  0.5000
Hg  0.0000  0.0000  0.0000
Tc  0.7500  0.7500  0.7500
Hg  0.2500  0.2500  0.2500

Results
The calculation puts the volume at 18.57 A^3/atom. As for the offset from the most stable computed form: 420.1 meV per atom. The formation energy is 0.646 eV per atom.